1.
The following is a DFT calculation (PBE-GGA) of an optimized crystal structure of ZrMnBr6.

Calculated values
Formation energy without anion corrections (eV per atom): -1.1017
ρ (g/cm³): 3.73
V (A^3/atom): 34.85
Distance to the lowest polymorph of the same formula (eV per atom): 0.000
Total magnetization (μB/f.u.): 5.000

```
ZrMnBr6
1.0
-4.5601 -0.8378 4.7154
1.4813 -4.9456 -5.6441
6.1269 -0.1754 4.3558
Zr Mn Br
1 1 6
Cartesian
0.7407 -2.4728 -2.8221
0.0000 0.0000 0.0000
0.6684 -1.4008 6.5906
1.6342 -2.0808 -0.3323
1.4139 -3.8779 3.7594
2.3797 -4.5580 -3.1635
-1.1127 -4.0808 -1.9045
-1.9660 -1.7025 0.9758
```

2.
The following is a DFT calculation (PBE-GGA) of an optimized crystal structure of ZrMn3Br.

Calculated values
Formation energy without anion corrections (eV per atom): 1.3540
ρ (g/cm³): 4.11
V (A^3/atom): 27.14
Distance to the lowest polymorph of the same formula (eV per atom): 0.288
Total magnetization (μB/f.u.): 11.645

```
ZrMn3Br
1.0
5.1387 0.0000 0.0000
0.0000 5.1387 0.0000
0.0000 0.0000 5.1387
Mn Br Zr
3 1 1
Cartesian
0.0000 2.5693 0.0000
0.0000 0.0000 2.5693
2.5693 0.0000 0.0000
2.5693 2.5693 2.5693
0.0000 0.0000 0.0000
```

3.
The following is a DFT calculation (PBE-GGA) of an optimized crystal structure of Zr2MnBr.

Calculated values
Formation energy without anion corrections (eV per atom): -0.0885
ρ (g/cm³): 5.74
V (A^3/atom): 22.96
Distance to the lowest polymorph of the same formula (eV per atom): 0.226
Total magnetization (μB/f.u.): 3.527

```
Zr2MnBr
1.0
-5.8575 7.5260 -1.6787
-7.4930 5.1376 -3.3510
-7.9694 5.5005 -0.0620
Br Mn Zr
1 1 2
Cartesian
-10.8661 9.2577 -2.5951
-15.8251 13.4827 -3.7795
-0.0272 0.0232 -0.0065
-5.2615 4.4827 -1.2566
```

4.
The following is a DFT calculation (PBE-GGA) of an optimized crystal structure of Zr2MnBr.

Calculated values
Formation energy without anion corrections (eV per atom): -0.2392
ρ (g/cm³): 6.06
V (A^3/atom): 21.74
Distance to the lowest polymorph of the same formula (eV per atom): 0.075
Total magnetization (μB/f.u.): 0.000

```
Zr2MnBr
1.0
-1.8750 -3.3631 -0.0200
0.4628 -3.0074 -2.3595
4.6339 -5.1342 3.8499
Br Mn Zr
1 1 2
Cartesian
2.4163 -8.6286 1.1028
0.8054 -2.8762 0.3676
0.2274 -0.6537 0.1279
1.3834 -5.0986 0.6073
```

5.
The following is a DFT calculation (PBE-GGA) of an optimized crystal structure of ZrMnBr2.

Calculated values
Formation energy without anion corrections (eV per atom): -0.1613
ρ (g/cm³): 5.04
V (A^3/atom): 25.22
Distance to the lowest polymorph of the same formula (eV per atom): 0.396
Total magnetization (μB/f.u.): 3.716

```
ZrMnBr2
1.0
7.0381 0.0470 0.0032
4.6036 5.3239 -0.0032
-5.3811 -3.6387 2.7094
Br Mn Zr
2 1 1
Cartesian
0.6962 0.3212 0.0000
4.0016 -0.3320 1.3563
4.9629 2.2896 0.0000
2.4207 2.1387 1.3531
```

6.
The following is a DFT calculation (PBE-GGA) of an optimized crystal structure of ZrMnBr2.

Calculated values
Formation energy without anion corrections (eV per atom): -0.3910
ρ (g/cm³): 4.30
V (A^3/atom): 29.54
Distance to the lowest polymorph of the same formula (eV per atom): 0.167
Total magnetization (μB/f.u.): 3.288

```
ZrMnBr2
1.0
-6.3815 2.8049 4.3324
-3.5210 -0.9574 7.3517
6.1910 1.5014 -5.1748
Br Mn Zr
2 1 1
Cartesian
-1.0956 0.2044 1.2927
-3.8557 0.7194 4.5493
-2.5709 2.6150 2.4998
-1.1407 0.7339 4.0094
```

7.
The following is a DFT calculation (PBE-GGA) of an optimized crystal structure of ZrMnBr2.

Calculated values
Formation energy without anion corrections (eV per atom): 0.3423
ρ (g/cm³): 5.79
V (A^3/atom): 21.94
Distance to the lowest polymorph of the same formula (eV per atom): 0.900
Total magnetization (μB/f.u.): 2.997

```
ZrMnBr2
1.0
4.9881 0.0000 0.0000
2.4941 4.3198 0.0000
2.4941 1.4399 4.0728
Br Mn Zr
2 1 1
Cartesian
0.0000 0.0000 0.0000
2.4941 1.4399 1.0182
4.9881 2.8799 2.0364
7.4822 4.3198 3.0546
```

8.
The following is a DFT calculation (PBE-GGA) of an optimized crystal structure of ZrMn4Br.

Calculated values
Formation energy without anion corrections (eV per atom): 0.4862
ρ (g/cm³): 6.87
V (A^3/atom): 15.75
Total magnetization (μB/f.u.): 9.953

```
ZrMn4Br
1.0
0.0000 3.6151 3.6151
3.6151 0.0000 3.6151
3.6151 3.6151 0.0000
Zr Mn Br
1 4 1
Cartesian
5.4226 5.4226 5.4226
2.7324 4.4978 4.4978
4.4978 4.4978 2.7324
4.4978 2.7324 4.4978
2.7324 2.7324 2.7324
0.0000 0.0000 0.0000
```

9.
The following is a DFT calculation (PBE-GGA) of an optimized crystal structure of Zr2MnBr.

Calculated values
Formation energy without anion corrections (eV per atom): -0.3146
ρ (g/cm³): 6.42
V (A^3/atom): 20.51
Distance to the lowest polymorph of the same formula (eV per atom): 0.000
Total magnetization (μB/f.u.): 0.000

```
Zr2MnBr
1.0
3.1773 0.0000 0.0000
0.0000 3.2449 -0.0390
0.0000 0.0898 7.9576
Br Mn Zr
1 1 2
Cartesian
1.5887 0.8337 1.9797
1.5887 2.5010 5.9390
0.0000 0.8942 7.5136
0.0000 0.8630 4.4034
```

10.
The following is a DFT calculation (PBE-GGA) of an optimized crystal structure of ZrMnBr2.

Calculated values
Formation energy without anion corrections (eV per atom): -0.3625
ρ (g/cm³): 4.46
V (A^3/atom): 28.45
Distance to the lowest polymorph of the same formula (eV per atom): 0.195
Total magnetization (μB/f.u.): 2.986

```
ZrMnBr2
1.0
-3.2610 -3.0893 -0.7250
-1.9828 -3.3100 2.4116
-7.1456 3.0966 3.1300
Br Mn Zr
2 1 1
Cartesian
-5.1972 -5.6268 1.7220
-8.4831 -2.9780 3.2475
-6.2807 -1.8567 2.4289
-3.8667 -0.8919 1.5130
```

11.
The following is a DFT calculation (PBE-GGA) of an optimized crystal structure of ZrMnBr2.

Calculated values
Formation energy without anion corrections (eV per atom): -0.0439
ρ (g/cm³): 5.73
V (A^3/atom): 22.18
Distance to the lowest polymorph of the same formula (eV per atom): 0.514
Total magnetization (μB/f.u.): 3.847

```
ZrMnBr2
1.0
5.7078 0.0020 0.0002
-3.0698 4.9037 -0.0074
1.1448 0.4046 3.1691
Br Mn Zr
2 1 1
Cartesian
0.0000 0.0000 0.0000
-0.9625 2.6541 1.5809
1.3190 2.4529 -0.0036
3.4263 0.2033 1.5847
```

12.
The following is a DFT calculation (PBE-GGA) of an optimized crystal structure of ZrMnBr2.

Calculated values
Formation energy without anion corrections (eV per atom): -0.0954
ρ (g/cm³): 4.69
V (A^3/atom): 27.09
Distance to the lowest polymorph of the same formula (eV per atom): 0.462
Total magnetization (μB/f.u.): 4.631

```
ZrMnBr2
1.0
3.2906 0.0000 0.0000
0.0000 3.2906 0.0000
0.0000 0.0000 10.0079
Br Mn Zr
2 1 1
Cartesian
0.0000 0.0000 9.1841
0.0000 0.0000 5.8278
1.6453 1.6453 2.5020
1.6453 1.6453 7.5060
```

13.
The following is a DFT calculation (PBE-GGA) of an optimized crystal structure of MoBr8.

Calculated values
Formation energy without anion corrections (eV per atom): 0.1197
ρ (g/cm³): 3.81
V (A^3/atom): 35.56
Total magnetization (μB/f.u.): 2.265

```
MoBr8
1.0
5.4635 -1.6988 4.8109
-1.4581 7.3161 -0.4784
-6.2233 -3.3489 2.4362
Mo Br
1 8
Cartesian
0.0000 0.0000 0.0000
3.1295 1.3410 3.0273
0.8759 4.2762 1.3052
-0.2133 -1.4171 2.0345
0.6284 2.6327 3.6648
-2.1565 1.1137 0.5496
-2.8464 -0.3643 3.1039
-0.5465 -3.6306 5.2125
-5.5250 2.8534 1.4082
```

14.
The following is a DFT calculation (PBE-GGA) of an optimized crystal structure of MoBr2.

Calculated values
Formation energy without anion corrections (eV per atom): 0.3423
ρ (g/cm³): 6.09
V (A^3/atom): 23.24
Distance to the lowest polymorph of the same formula (eV per atom): 1.010
Total magnetization (μB/f.u.): 2.966

```
MoBr2
1.0
-3.3293 3.3293 3.1446
3.3293 -3.3293 3.1446
3.3293 3.3293 -3.1446
Mo Br
2 4
Cartesian
0.0000 0.0000 1.5723
0.0000 0.0000 4.7169
-1.2906 2.0386 3.1446
4.6199 1.2906 0.0000
1.2906 2.0386 0.0000
2.0386 1.2906 3.1446
```

15.
The following is a DFT calculation (PBE-GGA) of an optimized crystal structure of MoBr2.

Calculated values
Formation energy without anion corrections (eV per atom): 0.1563
ρ (g/cm³): 6.23
V (A^3/atom): 22.74
Distance to the lowest polymorph of the same formula (eV per atom): 0.824
Total magnetization (μB/f.u.): 2.007

```
MoBr2
1.0
6.4861 0.0000 0.0000
0.0000 6.4861 0.0000
0.0000 0.0000 6.4861
Mo Br
4 8
Cartesian
0.0000 0.0000 0.0000
3.2430 3.2430 0.0000
3.2430 0.0000 3.2430
0.0000 3.2430 3.2430
4.2299 4.2299 2.2561
2.2561 2.2561 4.2299
0.9869 5.4992 4.2299
5.4992 0.9869 2.2561
2.2561 0.9869 0.9869
4.2299 5.4992 5.4992
5.4992 2.2561 5.4992
0.9869 4.2299 0.9869
```

16.
The following is a DFT calculation (PBE-GGA) of an optimized crystal structure of MoBr2.

Calculated values
Formation energy without anion corrections (eV per atom): -0.4730
ρ (g/cm³): 4.48
V (A^3/atom): 31.56
Distance to the lowest polymorph of the same formula (eV per atom): 0.194
Total magnetization (μB/f.u.): 0.000

```
MoBr2
1.0
1.6713 7.6349 -0.1123
-1.6713 7.6349 -0.1123
0.0000 2.7426 7.3805
Mo Br
2 4
Cartesian
0.0000 10.2298 6.1666
0.0000 7.7826 0.9893
0.0000 4.3597 5.4011
0.0000 15.9304 5.6711
0.0000 13.6527 1.7548
0.0000 2.0820 1.4848
```

17.
The following is a DFT calculation (PBE-GGA) of an optimized crystal structure of MoBr2.

Calculated values
Formation energy without anion corrections (eV per atom): 0.1251
ρ (g/cm³): 5.41
V (A^3/atom): 26.16
Distance to the lowest polymorph of the same formula (eV per atom): 0.793
Total magnetization (μB/f.u.): 2.010

```
MoBr2
1.0
1.7538 -3.0376 0.0000
1.7538 3.0376 0.0000
0.0000 0.0000 14.7297
Mo Br
2 4
Cartesian
0.0000 0.0000 3.6824
0.0000 0.0000 11.0473
1.7538 -1.0125 5.4282
1.7538 1.0125 12.7931
1.7538 1.0125 9.3015
1.7538 -1.0125 1.9366
```

18.
The following is a DFT calculation (PBE-GGA) of an optimized crystal structure of Mo5Br.

Calculated values
Formation energy without anion corrections (eV per atom): 0.9644
ρ (g/cm³): 8.44
V (A^3/atom): 18.34
Distance to the lowest polymorph of the same formula (eV per atom): 0.658
Total magnetization (μB/f.u.): 0.000

```
Mo5Br
1.0
-2.4288 3.7988 2.4228
-1.7694 -1.7195 -4.4847
-2.7513 -3.2450 2.3297
Mo Br
5 1
Cartesian
-1.9892 0.1199 -2.1822
-2.2090 1.9594 0.1203
-2.5901 0.2769 2.3763
-2.2604 -2.4823 -1.0775
-3.4748 -0.5829 0.1339
0.0000 0.0000 0.0000
```

19.
The following is a DFT calculation (PBE-GGA) of an optimized crystal structure of MoBr2.

Calculated values
Formation energy without anion corrections (eV per atom): -0.1188
ρ (g/cm³): 5.33
V (A^3/atom): 26.56
Distance to the lowest polymorph of the same formula (eV per atom): 0.549
Total magnetization (μB/f.u.): 0.000

```
MoBr2
1.0
1.6639 6.1566 -0.0170
-1.6639 6.1566 -0.0170
0.0000 6.0519 7.7616
Mo Br
2 4
Cartesian
0.0000 10.3112 0.5015
0.0000 8.0538 7.2261
0.0000 10.4636 6.3866
0.0000 4.7323 2.4477
0.0000 13.6327 5.2800
0.0000 7.9014 1.3410
```

20.
The following is a DFT calculation (PBE-GGA) of an optimized crystal structure of MoBr2.

Calculated values
Formation energy without anion corrections (eV per atom): -0.0704
ρ (g/cm³): 5.82
V (A^3/atom): 24.33
Distance to the lowest polymorph of the same formula (eV per atom): 0.597
Total magnetization (μB/f.u.): 0.000

```
MoBr2
1.0
3.3715 0.0000 0.0000
-1.6858 2.9198 0.0000
0.0000 0.0000 7.4143
Mo Br
1 2
Cartesian
0.0000 0.0000 0.0000
1.6858 0.9733 5.6381
0.0000 1.9465 1.7762
```

21.
The following is a DFT calculation (PBE-GGA) of an optimized crystal structure of Mo4Br.

Calculated values
Formation energy without anion corrections (eV per atom): 1.7854
ρ (g/cm³): 8.20
V (A^3/atom): 18.78
Distance to the lowest polymorph of the same formula (eV per atom): 0.967
Total magnetization (μB/f.u.): 0.002

```
Mo4Br
1.0
4.5454 0.0000 0.0000
0.0000 4.5454 0.0000
0.0000 0.0000 4.5454
Mo Br
4 1
Cartesian
0.0000 0.0000 0.0000
2.2727 0.0000 2.2727
0.0000 2.2727 2.2727
2.2727 2.2727 0.0000
2.2727 2.2727 2.2727
```

22.
The following is a DFT calculation (PBE-GGA) of an optimized crystal structure of Mo5Br.

Calculated values
Formation energy without anion corrections (eV per atom): 0.3063
ρ (g/cm³): 9.36
V (A^3/atom): 16.55
Distance to the lowest polymorph of the same formula (eV per atom): 0.000
Total magnetization (μB/f.u.): 0.000

```
Mo5Br
1.0
-1.4827 0.1257 -2.7530
2.4361 -1.4019 -1.3760
-4.1756 -9.0576 1.8353
Mo Br
5 1
Cartesian
-3.3869 -7.3467 1.4886
-0.7887 -1.7109 0.3467
-2.2601 -6.5748 -0.8616
-0.9620 -3.7590 -1.4321
-2.0878 -4.5288 0.9176
0.4767 -0.6381 -2.0645
```

23.
The following is a DFT calculation (PBE-GGA) of an optimized crystal structure of MoBr2.

Calculated values
Formation energy without anion corrections (eV per atom): 0.4242
ρ (g/cm³): 5.62
V (A^3/atom): 25.21
Distance to the lowest polymorph of the same formula (eV per atom): 1.092
Total magnetization (μB/f.u.): 3.926

```
MoBr2
1.0
2.2305 7.8124 -2.2768
-6.5400 -3.7836 -3.7556
-2.2652 1.3886 2.5456
Mo Br
3 6
Cartesian
-3.6165 0.0817 -3.2627
-0.6930 3.9470 -2.7697
-1.1326 0.6943 1.2728
0.5008 1.7541 -0.5112
-1.4684 -0.8495 -0.8432
-3.3419 3.1242 -4.6779
0.1037 5.0244 0.0109
-4.7574 -1.4028 -0.8088
-3.0535 2.4901 -1.4161
```

24.
The following is a DFT calculation (PBE-GGA) of an optimized crystal structure of Mo5Br.

Calculated values
Formation energy without anion corrections (eV per atom): 0.4481
ρ (g/cm³): 9.59
V (A^3/atom): 16.15
Distance to the lowest polymorph of the same formula (eV per atom): 0.142
Total magnetization (μB/f.u.): 0.000

```
Mo5Br
1.0
3.5788 -1.5007 3.5720
4.8013 -2.0540 0.7403
4.1688 4.9011 0.8420
Mo Br
5 1
Cartesian
8.3550 0.4716 3.5147
4.1963 0.1328 1.7856
6.2616 2.4894 2.2167
2.0856 2.0795 0.4940
6.2896 -1.8850 3.0836
4.1700 4.5302 0.9150
```

25.
The following is a DFT calculation (PBE-GGA) of an optimized crystal structure of MoBr4.

Calculated values
Formation energy without anion corrections (eV per atom): 0.0458
ρ (g/cm³): 4.97
V (A^3/atom): 27.77
Total magnetization (μB/f.u.): 1.858

```
MoBr4
1.0
-0.4061 -4.3336 2.8053
5.0530 0.2423 1.1059
-1.0567 2.8242 4.2098
Mo Br
1 4
Cartesian
1.7951 -0.6336 4.0605
0.0000 0.0000 0.0000
-0.7314 -0.7547 3.5075
1.9981 1.5332 2.6578
2.3234 -2.0456 1.9556
```

26.
The following is a DFT calculation (PBE-GGA) of an optimized crystal structure of MoBr2.

Calculated values
Formation energy without anion corrections (eV per atom): 1.6092
ρ (g/cm³): 4.91
V (A^3/atom): 28.83
Distance to the lowest polymorph of the same formula (eV per atom): 2.277
Total magnetization (μB/f.u.): 4.473

```
MoBr2
1.0
0.0000 4.4226 4.4226
4.4226 0.0000 4.4226
4.4226 4.4226 0.0000
Mo Br
2 4
Cartesian
4.4226 4.4226 4.4226
6.6339 6.6339 6.6339
1.1057 3.3170 3.3170
3.3170 1.1057 3.3170
3.3170 3.3170 1.1057
1.1057 1.1057 1.1057
```

27.
The following is a DFT calculation (PBE-GGA) of an optimized crystal structure of MoBr2.

Calculated values
Formation energy without anion corrections (eV per atom): -0.1997
ρ (g/cm³): 4.42
V (A^3/atom): 32.06
Distance to the lowest polymorph of the same formula (eV per atom): 0.468
Total magnetization (μB/f.u.): 0.000

```
MoBr2
1.0
3.8825 -7.6436 0.0000
3.8825 7.6436 0.0000
0.0000 0.0000 3.2411
Mo Br
2 4
Cartesian
2.9296 0.0000 2.4308
4.8353 0.0000 0.8103
5.7234 -1.8964 2.4308
2.0415 1.8964 0.8103
5.7234 1.8964 2.4308
2.0415 -1.8964 0.8103
```

28.
The following is a DFT calculation (PBE-GGA) of an optimized crystal structure of MoBr2.

Calculated values
Formation energy without anion corrections (eV per atom): -0.2734
ρ (g/cm³): 4.62
V (A^3/atom): 30.64
Distance to the lowest polymorph of the same formula (eV per atom): 0.394
Total magnetization (μB/f.u.): 0.000

```
MoBr2
1.0
1.7292 8.6416 1.5597
-1.7292 8.6416 1.5597
0.0000 4.2546 6.9196
Mo Br
2 4
Cartesian
0.0000 17.6413 7.7635
0.0000 7.6635 7.3397
0.0000 20.0461 8.2284
0.0000 9.1972 4.0852
0.0000 14.9412 7.4259
0.0000 13.0725 3.6398
```